A plane-wave DFT calculation with GGA+U was carried out for a geometry-optimized NaYFe4O12 structure.

Output
Calculated volume   12.1 Å³ per atom
Total energy   -0.2220 hartree per atom

extended XYZ file:
```
18
Lattice="-1.809 -2.369 4.455 1.358 -4.787 -1.994 6.892 0.646 3.142" Properties=species:S:1:pos:R:3 pbc="T T T"
Na -0.226 -3.578 1.231
Y 3.446 0.323 1.571
Fe 5.877 -1.906 1.373
Fe 2.372 -2.235 -0.225
Fe 0.789 -1.026 2.999
Fe 4.294 -0.697 4.598
O 1.736 -1.539 1.430
O 4.940 -1.239 2.891
O 4.705 -4.970 4.174
O 1.500 -5.270 2.713
O 3.997 -2.474 5.213
O 0.792 -2.774 3.753
O 5.648 -3.735 1.851
O 2.444 -4.035 0.390
O 4.125 -2.070 0.574
O 0.679 -2.393 -0.997
O 2.541 -0.861 3.799
O -0.905 -1.184 2.227
```